(1)
Here is an optimized crystal structure of Te2WAu from the Alexandria database. Energies are from GGA-PBE.

Lattice parameters (Å, degrees): 5.7096 5.7096 5.7096 137.11 137.11 62.27
Atoms (fractional coordinates):
Au: 0.7500 0.2500 0.5000
Te: 0.0000 0.0000 0.0000
Te: 0.2500 0.7500 0.5000
W: 0.5000 0.5000 0.0000

Output
Formation energy without anion corrections (eV per atom): 0.91
Mass density (g/cm3): 12.40
Energy above the lowest structure with this stoichiometry (kcal/mol of atoms): 14.46
DOS(E_F) (states/eV per atom): 0.91
Space-group type: I-4m2
Total magnetization (μB/f.u.): 0.52


(2)
Here is an optimized crystal structure of Te2WAu from the Alexandria database. Energies are from GGA-PBE.

Lattice parameters (Å, degrees): 5.3921 5.3921 7.3353 68.73 68.73 36.49
Atoms (fractional coordinates):
Au: 0.1999 0.1999 0.3911
Te: 0.9848 0.9848 0.0941
Te: 0.8196 0.8196 0.6416
W: 0.4956 0.4956 0.3731

Output
Formation energy without anion corrections (eV per atom): 0.28
Mass density (g/cm3): 9.01
Energy above the lowest structure with this stoichiometry (kcal/mol of atoms): 0.00
DOS(E_F) (states/eV per atom): 0.49
Space-group type: Cm
Total magnetization (μB/f.u.): 0.00


(3)
Here is an optimized crystal structure of TeW2Au from the Alexandria database. Energies are from GGA-PBE.

Lattice parameters (Å, degrees): 5.5473 5.5473 5.5473 145.64 129.92 62.15
Atoms (fractional coordinates):
Au: 0.2500 0.7500 0.5000
Te: 0.7500 0.2500 0.5000
W: 0.9864 0.9864 0.0000
W: 0.5136 0.5136 0.0000

Output
Formation energy without anion corrections (eV per atom): 0.85
Mass density (g/cm3): 15.72
DOS(E_F) (states/eV per atom): 0.96
Space-group type: Immm
Total magnetization (μB/f.u.): 0.00